# 1
# Pu2PaGeC | Alexandria | PBE | optimized geometry
# Formation enthalpy at 0 K, eV/atom: 0.133
data_Pu2PaGeC
_symmetry_space_group_name_H-M 'C m c m'
_symmetry_Int_Tables_number 63
_symmetry_space_group_name_Hall '-C 2c 2'
_cell_length_a 3.450
_cell_length_b 11.697
_cell_length_c 9.338
_cell_angle_alpha 90.00
_cell_angle_beta 90.00
_cell_angle_gamma 90.00
loop_
_atom_site_label
_atom_site_type_symbol
_atom_site_fract_x
_atom_site_fract_y
_atom_site_fract_z
Pu1 Pu 0.000 0.186 0.035
Pa1 Pa 0.000 0.482 0.250
Ge1 Ge 0.000 0.230 0.750
C1 C 0.000 0.000 0.000



# 2
# Pa2Re2Ge2C | Alexandria | PBE | optimized geometry
# Formation enthalpy at 0 K, eV/atom: -0.352
data_Pa2Re2Ge2C
_symmetry_space_group_name_H-M 'C 1 2/m 1'
_symmetry_Int_Tables_number 12
_cell_length_a 11.016
_cell_length_b 4.127
_cell_length_c 6.816
_cell_angle_alpha 90.00
_cell_angle_beta 126.27
_cell_angle_gamma 90.00
loop_
_symmetry_equiv_pos_as_xyz
'x,y,z'
'-x,-y,-z'
'-x,y,-z'
'x,-y,z'
'x+1/2,y+1/2,z'
'-x+1/2,-y+1/2,-z'
'-x+1/2,y+1/2,-z'
'x+1/2,-y+1/2,z'
loop_
_atom_site_label
_atom_site_type_symbol
_atom_site_fract_x
_atom_site_fract_y
_atom_site_fract_z
Pa1 Pa 0.061 0.000 0.286
Re1 Re 0.206 0.500 0.097
Ge1 Ge 0.148 0.500 0.670
C1 C 0.000 0.500 0.000



# 3
# PaGeRu2C | Alexandria | PBE | optimized geometry
# Formation enthalpy at 0 K, eV/atom: -0.379
data_PaGeRu2C
_symmetry_space_group_name_H-M 'C m c m'
_symmetry_Int_Tables_number 63
_symmetry_space_group_name_Hall '-C 2c 2'
_cell_length_a 3.895
_cell_length_b 11.432
_cell_length_c 7.151
_cell_angle_alpha 90.00
_cell_angle_beta 90.00
_cell_angle_gamma 90.00
loop_
_atom_site_label
_atom_site_type_symbol
_atom_site_fract_x
_atom_site_fract_y
_atom_site_fract_z
Pa1 Pa 0.000 0.057 0.250
Ge1 Ge 0.000 0.226 0.750
Ru1 Ru 0.000 0.339 0.051
C1 C 0.000 0.500 0.000



| no. | total magnetic moment (μB per atom) |
| --- | --- |
| 1 | 0.352 |
| 2 | 0.000 |
| 3 | 0.000 |